Arrangement one

VASP calculation (PBE) on an optimized crystal structure of BaCu2Au.

The space group is Immm (No. 71) and the conventional cell measures 4.597, 5.858 and 7.326 Å, with angles of 90.00, 90.00 and 90.00 degrees. The asymmetric unit holds Ba at (0.000, 0.000, 0.000), Cu at (0.000, 0.500, 0.170) and Au at (0.000, 0.000, 0.500).

For the density of states at the Fermi level, the calculation gives 0.36 states/eV per atom.

Arrangement two

VASP calculation (PBE) on an optimized crystal structure of BaCu2Au.

The space group is Cm (No. 8) and the conventional cell measures 7.677, 4.441 and 6.168 Å, with angles of 90.00, 114.73 and 90.00 degrees. The asymmetric unit holds Ba at (0.000, 0.000, 0.000), Cu at (0.308, 0.500, 0.424), Cu at (0.492, 0.000, 0.476) and Au at (0.196, 0.000, 0.587).

For the density of states at the Fermi level, the calculation gives 0.58 states/eV per atom.

So which one wins? Going from most stable to least: arrangement two, arrangement one.